[1]
First-principles (PBE-GGA) data for crystalline CrGeSCl2 at its relaxed geometry, as listed in the Alexandria database.

Results
SG: No. 123
Raw formation energy: -0.232 eV/atom
Raw total energy: -23.22 eV/cell
Volume: 21.4 A^3/atom
Spin magnetization: 4.0 μB per formula unit
Polymorph energy (0 for the lowest one): 0 meV/atom

Lattice parameters (Å, degrees): 4.688 4.688 4.878 90.00 90.00 90.00
Positions (direct):
Cl 0.000 0.500 0.000
Cl 0.500 0.000 0.000
S 0.000 0.000 0.500
Ge 0.500 0.500 0.500
Cr 0.000 0.000 0.000

---

[2]
First-principles (PBE-GGA) data for crystalline TlCrGe2Cl8 at its relaxed geometry, as listed in the Alexandria database.

Results
SG: No. 2
Raw formation energy: -0.921 eV/atom
Raw total energy: -47.05 eV/cell
Volume: 27.9 A^3/atom
Spin magnetization: 3.0 μB per formula unit

Lattice parameters (Å, degrees): 6.783 6.745 8.407 90.12 90.16 60.39
Positions (direct):
Cl 0.252 0.696 0.165
Cl 0.947 0.745 0.837
Cl 0.669 0.665 0.430
Cl 0.696 0.052 0.164
Cl 0.304 0.948 0.836
Cl 0.748 0.304 0.835
Cl 0.331 0.335 0.570
Cl 0.053 0.255 0.163
Ge 0.333 0.334 0.840
Ge 0.667 0.666 0.160
Cr 0.000 0.000 0.000
Tl 0.000 0.000 0.500

---

[3]
First-principles (PBE-GGA) data for crystalline Cr2HCl at its relaxed geometry, as listed in the Alexandria database.

Results
SG: No. 122
Raw total energy: -45.47 eV/cell
Volume: 11.6 A^3/atom
Spin magnetization: 1.8 μB per formula unit
Polymorph energy (0 for the lowest one): 0 meV/atom

Lattice parameters (Å, degrees): 4.403 4.403 5.720 67.37 67.37 90.00
Positions (direct):
H 0.250 0.750 0.500
H 0.500 0.500 0.000
Cr 0.513 0.125 0.250
Cr 0.237 0.625 0.250
Cr 0.375 0.487 0.750
Cr 0.875 0.763 0.750
Cl 0.750 0.250 0.500
Cl 0.000 0.000 0.000

---

[4]
First-principles (PBE-GGA) data for crystalline CrHCl2 at its relaxed geometry, as listed in the Alexandria database.

Results
SG: No. 166
Raw total energy: -14.47 eV/cell
Volume: 14.4 A^3/atom
Spin magnetization: 0.0 μB per formula unit

Lattice parameters (Å, degrees): 7.158 7.158 7.158 24.96 24.96 24.96
Positions (direct):
Cl 0.102 0.102 0.102
Cl 0.898 0.898 0.898
H 0.500 0.500 0.500
Cr 0.000 0.000 0.000

---

[5]
First-principles (PBE-GGA) data for crystalline Cr2HCl at its relaxed geometry, as listed in the Alexandria database.

Results
SG: No. 225
Raw total energy: -20.97 eV/cell
Volume: 10.9 A^3/atom
Spin magnetization: 4.7 μB per formula unit
Polymorph energy (0 for the lowest one): 440 meV/atom

Lattice parameters (Å, degrees): 3.957 3.957 3.957 60.00 60.00 60.00
Positions (direct):
Cr 0.750 0.750 0.750
Cr 0.250 0.250 0.250
H 0.000 0.000 0.000
Cl 0.500 0.500 0.500

---

[6]
First-principles (PBE-GGA) data for crystalline CrH2Cl at its relaxed geometry, as listed in the Alexandria database.

Results
SG: No. 225
Raw total energy: -15.26 eV/cell
Volume: 10.4 A^3/atom
Spin magnetization: 3.2 μB per formula unit
Polymorph energy (0 for the lowest one): 636 meV/atom

Lattice parameters (Å, degrees): 3.891 3.891 3.891 60.00 60.00 60.00
Positions (direct):
Cl 0.000 0.000 0.000
H 0.250 0.250 0.250
H 0.750 0.750 0.750
Cr 0.500 0.500 0.500

---

[7]
First-principles (PBE-GGA) data for crystalline CrHCl2 at its relaxed geometry, as listed in the Alexandria database.

Results
SG: No. 166
Raw total energy: -17.46 eV/cell
Volume: 21.1 A^3/atom
Spin magnetization: 5.0 μB per formula unit

Lattice parameters (Å, degrees): 6.266 6.266 6.266 38.17 38.17 38.17
Positions (direct):
Cr 0.500 0.500 0.500
H 0.000 0.000 0.000
Cl 0.910 0.910 0.910
Cl 0.090 0.090 0.090

---

[8]
First-principles (PBE-GGA) data for crystalline CrH2Cl at its relaxed geometry, as listed in the Alexandria database.

Results
SG: No. 122
Raw total energy: -35.60 eV/cell
Volume: 13.2 A^3/atom
Spin magnetization: 3.0 μB per formula unit
Polymorph energy (0 for the lowest one): 0 meV/atom

Lattice parameters (Å, degrees): 6.665 6.665 5.277 50.85 50.85 90.00
Positions (direct):
Cr 0.750 0.250 0.500
Cr 0.000 0.000 0.000
H 0.375 0.140 0.750
H 0.890 0.625 0.250
H 0.860 0.125 0.250
H 0.875 0.110 0.750
Cl 0.500 0.500 0.000
Cl 0.250 0.750 0.500

---

[9]
First-principles (PBE-GGA) data for crystalline CrH2Cl2 at its relaxed geometry, as listed in the Alexandria database.

Results
SG: No. 2
Raw total energy: -45.05 eV/cell
Volume: 21.6 A^3/atom
Spin magnetization: 4.0 μB per formula unit

Lattice parameters (Å, degrees): 4.392 4.391 13.100 111.42 111.30 90.06
Positions (direct):
H 0.042 0.878 0.753
H 0.122 0.958 0.247
H 0.208 0.872 0.747
H 0.128 0.792 0.253
Cr 0.846 0.154 0.500
Cr 0.404 0.596 0.000
Cl 0.825 0.518 0.928
Cl 0.425 0.232 0.572
Cl 0.769 0.575 0.427
Cl 0.481 0.175 0.073

---

[10]
First-principles (PBE-GGA) data for crystalline CrHCl2 at its relaxed geometry, as listed in the Alexandria database.

Results
SG: No. 63
Raw total energy: -34.41 eV/cell
Volume: 25.0 A^3/atom
Spin magnetization: 5.0 μB per formula unit

Lattice parameters (Å, degrees): 3.450 6.222 9.480 90.00 100.48 90.00
Positions (direct):
Cl 0.782 0.750 0.563
Cl 0.394 0.250 0.788
Cl 0.606 0.750 0.212
Cl 0.218 0.250 0.437
Cr 0.192 0.750 0.383
Cr 0.808 0.250 0.617
H 0.955 0.750 0.911
H 0.045 0.250 0.089

---

The lowest volume belongs to which entry? number 6

---

Which of these has the highest raw total energy? number 4

---

Which formula does entry 5 have? Cr2HCl